Tm6SbAs2Se3 (GGA-PBE, optimized geometry); volume = 291 Å³/cell; energy relative to the elements, uncorrected = -1.547 eV/atom; M_tot = 0.0 μB per cell; mass density = 8.68 g cm⁻³; total energy = -5.7721 eV/atom
1.0
4.090 0.000 0.000
0.000 8.187 0.313
-2.045 -2.338 8.608
Tm Sb As Se
6 1 2 3
direct
0.328 0.901 0.657 Tm
0.671 0.577 0.342 Tm
0.672 0.099 0.343 Tm
0.005 0.263 0.010 Tm
0.995 0.737 0.990 Tm
0.329 0.423 0.658 Tm
0.500 0.000 0.000 Sb
0.833 0.665 0.665 As
0.167 0.335 0.335 As
0.500 0.500 0.000 Se
0.836 0.167 0.671 Se
0.164 0.833 0.329 Se

=====

Tm6Sb3AsSe2 (GGA-PBE, optimized geometry); volume = 312 Å³/cell; energy relative to the elements, uncorrected = -1.360 eV/atom; M_tot = 0.0 μB per cell; mass density = 8.58 g cm⁻³; total energy = -5.5943 eV/atom
1.0
-1.739 7.011 -0.733
-3.936 -4.290 4.338
5.973 0.660 4.057
Tm Sb As Se
6 3 1 2
direct
0.921 0.595 0.764 Tm
0.754 0.754 0.240 Tm
0.079 0.405 0.236 Tm
0.595 0.921 0.764 Tm
0.246 0.246 0.760 Tm
0.405 0.079 0.236 Tm
0.170 0.830 0.500 Sb
0.830 0.170 0.500 Sb
0.500 0.500 0.500 Sb
0.000 0.000 0.000 As
0.334 0.666 0.000 Se
0.666 0.334 0.000 Se